No. 1
# SiTePb3 | Alexandria | PBE | relaxed
# - M_tot: 0.00 Bohr magnetons per cell
# - Crystal system: cubic
# - Energy relative to the lowest polymorph listed for this composition: 50.5 kJ/mol of atoms
# - Formation energy from raw total energies: 4.4 eV per formula unit
data_SiTePb3
_symmetry_space_group_name_H-M 'P m -3 m'
_symmetry_Int_Tables_number 221
_symmetry_space_group_name_Hall '-P 4 2 3'
_cell_length_a 5.9455
_cell_length_b 5.9455
_cell_length_c 5.9455
_cell_angle_alpha 90.00
_cell_angle_beta 90.00
_cell_angle_gamma 90.00
loop_
_atom_site_label
_atom_site_type_symbol
_atom_site_fract_x
_atom_site_fract_y
_atom_site_fract_z
Si1 Si 0.0000 0.0000 0.0000
Te1 Te 0.5000 0.5000 0.5000
Pb1 Pb 0.0000 0.5000 0.5000

No. 2
# VNi2H4 | Alexandria | PBE | relaxed
# - M_tot: 0.00 Bohr magnetons per cell
# - Crystal system: orthorhombic
# - E_tot: -0.3548 Ry per atom
data_VNi2H4
_symmetry_space_group_name_H-M 'F d d d'
_symmetry_Int_Tables_number 70
_cell_length_a 7.2694
_cell_length_b 7.2735
_cell_length_c 7.2831
_cell_angle_alpha 90.00
_cell_angle_beta 90.00
_cell_angle_gamma 90.00
loop_
_symmetry_equiv_pos_as_xyz
'x,y,z'
'-x,-y,-z'
'-x+1/4,-y+1/4,z'
'x+1/4,y+1/4,-z'
'x,-y+1/4,-z+1/4'
'-x,y+1/4,z+1/4'
'-x+1/4,y,-z+1/4'
'x+1/4,-y,z+1/4'
'x,y+1/2,z+1/2'
'-x,-y+1/2,-z+1/2'
'-x+1/4,-y+3/4,z+1/2'
'x+1/4,y+3/4,-z+1/2'
'x,-y+3/4,-z+3/4'
'-x,y+3/4,z+3/4'
'-x+1/4,y+1/2,-z+3/4'
'x+1/4,-y+1/2,z+3/4'
'x+1/2,y,z+1/2'
'-x+1/2,-y,-z+1/2'
'-x+3/4,-y+1/4,z+1/2'
'x+3/4,y+1/4,-z+1/2'
'x+1/2,-y+1/4,-z+3/4'
'-x+1/2,y+1/4,z+3/4'
'-x+3/4,y,-z+3/4'
'x+3/4,-y,z+3/4'
'x+1/2,y+1/2,z'
'-x+1/2,-y+1/2,-z'
'-x+3/4,-y+3/4,z'
'x+3/4,y+3/4,-z'
'x+1/2,-y+3/4,-z+1/4'
'-x+1/2,y+3/4,z+1/4'
'-x+3/4,y+1/2,-z+1/4'
'x+3/4,-y+1/2,z+1/4'
loop_
_atom_site_label
_atom_site_type_symbol
_atom_site_fract_x
_atom_site_fract_y
_atom_site_fract_z
V1 V 0.1250 0.1250 0.1250
Ni1 Ni 0.0000 0.0000 0.5000
H1 H 0.0184 0.0186 0.7311

No. 3
# In6SiPd12 | Alexandria | PBE | relaxed
# - M_tot: 0.00 Bohr magnetons per cell
# - Crystal system: trigonal
# - Formation energy from raw total energies: -5.4 eV per formula unit
data_In6SiPd12
_symmetry_space_group_name_H-M 'R -3'
_symmetry_Int_Tables_number 148
_symmetry_space_group_name_Hall '-R 3'
_cell_length_a 10.9585
_cell_length_b 10.9585
_cell_length_c 10.8042
_cell_angle_alpha 90.00
_cell_angle_beta 90.00
_cell_angle_gamma 120.00
loop_
_atom_site_label
_atom_site_type_symbol
_atom_site_fract_x
_atom_site_fract_y
_atom_site_fract_z
In1 In 0.0523 0.1995 0.1875
Si1 Si 0.0000 0.0000 0.5000
Pd1 Pd 0.0342 0.2284 0.4331
Pd2 Pd 0.0669 0.2593 0.9354

No. 4
# BeCrRu2 | Alexandria | PBE | relaxed
# - M_tot: 0.00 Bohr magnetons per cell
# - Crystal system: tetragonal
# - E_form: 1.95 eV per formula unit
data_BeCrRu2
_symmetry_space_group_name_H-M 'I -4 2 d'
_symmetry_Int_Tables_number 122
_symmetry_space_group_name_Hall 'I -4 2bw'
_cell_length_a 6.1692
_cell_length_b 6.1692
_cell_length_c 5.4546
_cell_angle_alpha 90.00
_cell_angle_beta 90.00
_cell_angle_gamma 90.00
loop_
_atom_site_label
_atom_site_type_symbol
_atom_site_fract_x
_atom_site_fract_y
_atom_site_fract_z
Be1 Be 0.0000 0.0000 0.0000
Cr1 Cr 0.0000 0.0000 0.5000
Ru1 Ru 0.2380 0.7500 0.1250

No. 5
# Zr2MnIrCl | Alexandria | PBE | relaxed
# - M_tot: 2.90 Bohr magnetons per cell
# - Crystal system: tetragonal
# - Formation energy from raw total energies: 0.7 eV per formula unit
data_Zr2MnIrCl
_symmetry_space_group_name_H-M 'P 4/m m m'
_symmetry_Int_Tables_number 123
_symmetry_space_group_name_Hall '-P 4 2'
_cell_length_a 4.7394
_cell_length_b 4.7394
_cell_length_c 4.1147
_cell_angle_alpha 90.00
_cell_angle_beta 90.00
_cell_angle_gamma 90.00
loop_
_atom_site_label
_atom_site_type_symbol
_atom_site_fract_x
_atom_site_fract_y
_atom_site_fract_z
Zr1 Zr 0.0000 0.5000 0.0000
Mn1 Mn 0.0000 0.0000 0.5000
Ir1 Ir 0.5000 0.5000 0.5000
Cl1 Cl 0.0000 0.0000 0.0000

No. 6
# CoSbN | Alexandria | PBE | relaxed
# - M_tot: 1.71 Bohr magnetons per cell
# - Crystal system: triclinic
# - Formation energy from raw total energies: 0.5 eV per formula unit
data_CoSbN
_symmetry_space_group_name_H-M 'P 1'
_symmetry_Int_Tables_number 1
_cell_length_a 3.0935
_cell_length_b 4.2953
_cell_length_c 11.8978
_cell_angle_alpha 94.47
_cell_angle_beta 96.52
_cell_angle_gamma 111.10
loop_
_symmetry_equiv_pos_as_xyz
'x,y,z'
loop_
_atom_site_label
_atom_site_type_symbol
_atom_site_fract_x
_atom_site_fract_y
_atom_site_fract_z
Co1 Co 0.0000 0.0000 0.0000
Co2 Co 0.3537 0.6186 0.1018
Sb1 Sb 0.2220 0.5390 0.8909
Sb2 Sb 0.6884 0.2154 0.1851
N1 N 0.1824 0.8162 0.5657
N2 N 0.2573 0.0169 0.5086

No. 7
# SrPSe | Alexandria | PBE | relaxed
# - M_tot: 0.00 Bohr magnetons per cell
# - Crystal system: monoclinic
# - Formation energy from raw total energies: -3.3 eV per formula unit
data_SrPSe
_symmetry_space_group_name_H-M 'C 1 2 1'
_symmetry_Int_Tables_number 5
_cell_length_a 6.0243
_cell_length_b 7.4136
_cell_length_c 7.9204
_cell_angle_alpha 90.00
_cell_angle_beta 102.17
_cell_angle_gamma 90.00
loop_
_symmetry_equiv_pos_as_xyz
'x,y,z'
'-x,y,-z'
'x+1/2,y+1/2,z'
'-x+1/2,y+1/2,-z'
loop_
_atom_site_label
_atom_site_type_symbol
_atom_site_fract_x
_atom_site_fract_y
_atom_site_fract_z
Sr1 Sr 0.1891 0.0000 0.2621
P1 P 0.1613 0.3802 0.0828
Se1 Se 0.2036 0.5834 0.3289

No. 8
# KSbOs2 | Alexandria | PBE | relaxed
# - M_tot: 0.00 Bohr magnetons per cell
# - Crystal system: trigonal
# - Formation energy from raw total energies: 4.4 eV per formula unit
data_KSbOs2
_symmetry_space_group_name_H-M 'R -3 m'
_symmetry_Int_Tables_number 166
_symmetry_space_group_name_Hall '-R 3 2"'
_cell_length_a 3.1071
_cell_length_b 3.1071
_cell_length_c 29.0428
_cell_angle_alpha 90.00
_cell_angle_beta 90.00
_cell_angle_gamma 120.00
loop_
_atom_site_label
_atom_site_type_symbol
_atom_site_fract_x
_atom_site_fract_y
_atom_site_fract_z
K1 K 0.0000 0.0000 0.0000
Sb1 Sb 0.0000 0.0000 0.5000
Os1 Os 0.0000 0.0000 0.2339

What is the M_tot in the second record?
0.00 Bohr magnetons per cell

The highest M_tot belongs to which entry?
Zr2MnIrCl

Number 8 is which compound?
KSbOs2